First-principles (PBE) data for TaGaSb after structural relaxation, as listed in the Open Quantum Materials Database.

- crystal system = cubic
- calculated volume (Å³/cell) = 285.3
- size of the total moment (Bohr magnetons per cell) = 3.29
- polymorph energy (0 for the lowest one) (eV per atom) = 0.2845

```
data_TaGaSb
_cell_length_a 6.5833
_cell_length_b 6.5833
_cell_length_c 6.5833
_cell_angle_alpha 90.00
_cell_angle_beta 90.00
_cell_angle_gamma 90.00
_symmetry_space_group_name_H-M 'F -4 3 m'
_symmetry_Int_Tables_number 216
_symmetry_space_group_name_Hall 'F -4 2 3'
loop_
_atom_site_label
_atom_site_fract_x
_atom_site_fract_y
_atom_site_fract_z
Ta1 0.0000 0.0000 0.0000
Ga1 0.0000 0.0000 0.5000
Sb1 0.2500 0.2500 0.7500
```